No. 1
# NaLiICl

A relaxed NaLiICl crystal (PBE, Alexandria via LeMat-Bulk).

E above lowest polymorph ... 0 meV/atom
Energy relative to the elements, uncorrected ... -33.4 kcal/mol of atoms

Cell and atoms, written as extended XYZ:
```
4
Lattice="4.0910 0.0000 0.0000 0.0000 4.0910 0.0000 0.0000 0.0000 6.2272" Properties=species:S:1:pos:R:3 pbc="T T T"
Na 0.0000 0.0000 0.0000
Li 2.0455 2.0455 3.1136
I 0.0000 0.0000 3.1136
Cl 2.0455 2.0455 0.0000
```



No. 2
# NaYHf

A relaxed NaYHf crystal (PBE, Alexandria via LeMat-Bulk).

E above lowest polymorph ... 0 meV/atom
DFT formation energy ... 0.1190 eV per atom

Cell and atoms, written as extended XYZ:
```
6
Lattice="3.3410 0.0000 0.0000 0.0000 3.3410 0.0000 0.0000 0.0000 15.7073" Properties=species:S:1:pos:R:3 pbc="T T T"
Na 0.8352 0.8352 1.5424
Na 2.5057 2.5057 14.1649
Y 0.8352 0.8352 11.2027
Y 2.5057 2.5057 4.5046
Hf 0.8352 0.8352 6.8077
Hf 2.5057 2.5057 8.8996
```



No. 3
# Pm5Pr2Sm2

A relaxed Pm5Pr2Sm2 crystal (PBE, Alexandria via LeMat-Bulk).

E above lowest polymorph ... 0 meV/atom
DFT formation energy ... 0.0381 eV per atom

Cell and atoms, written as extended XYZ:
```
9
Lattice="8.9613 0.0000 0.0000 0.0000 3.6281 0.0000 -2.3204 0.0000 9.6528" Properties=species:S:1:pos:R:3 pbc="T T T"
Pm 0.0000 0.0000 0.0000
Pm 1.5979 0.0000 5.1834
Pm 2.6316 1.8141 2.0808
Pm 4.0093 1.8141 7.5721
Pm 5.0431 0.0000 4.4695
Pr -1.3870 1.8141 6.5766
Pr 8.0279 1.8141 3.0763
Sm 0.9581 0.0000 8.5701
Sm 5.6828 0.0000 1.0828
```



No. 4
# SiGeI2O

A relaxed SiGeI2O crystal (PBE, Alexandria via LeMat-Bulk).

E above lowest polymorph ... 0 meV/atom
Energy relative to the elements, uncorrected ... -4.9 kcal/mol of atoms

Cell and atoms, written as extended XYZ:
```
5
Lattice="5.7196 0.0000 0.0000 0.0000 5.7196 0.0000 0.0000 0.0000 3.5403" Properties=species:S:1:pos:R:3 pbc="T T T"
Si 0.0000 0.0000 0.0000
Ge 2.8598 2.8598 1.7702
I 0.0000 2.8598 0.0000
I 2.8598 0.0000 0.0000
O 0.0000 0.0000 1.7702
```



No. 5
# Tb4CeCd5

A relaxed Tb4CeCd5 crystal (PBE, Alexandria via LeMat-Bulk).

DFT formation energy ... -0.2775 eV per atom

Cell and atoms, written as extended XYZ:
```
10
Lattice="3.7504 0.0000 0.0000 0.0000 3.7504 0.0000 0.0000 0.0000 19.0601" Properties=species:S:1:pos:R:3 pbc="T T T"
Tb 0.0000 0.0000 1.8787
Tb 0.0000 0.0000 5.6321
Tb 0.0000 0.0000 13.4279
Tb 0.0000 0.0000 17.1814
Ce 0.0000 0.0000 9.5300
Cd 1.8752 1.8752 0.0000
Cd 1.8752 1.8752 3.7619
Cd 1.8752 1.8752 7.4691
Cd 1.8752 1.8752 11.5909
Cd 1.8752 1.8752 15.2982
```



No. 6
# CaSiOs2

A relaxed CaSiOs2 crystal (PBE, Alexandria via LeMat-Bulk).

Energy relative to the elements, uncorrected ... 3.3 kcal/mol of atoms

Cell and atoms, written as extended XYZ:
```
4
Lattice="2.9073 0.0000 0.0000 0.0000 4.3026 0.0000 -1.3273 0.0000 5.6353" Properties=species:S:1:pos:R:3 pbc="T T T"
Ca 0.0000 0.0000 0.0000
Si 0.1399 2.1513 4.0865
Os 0.1872 0.0000 2.8356
Os 1.6041 2.1513 2.1047
```



No. 7
# LiGaC

A relaxed LiGaC crystal (PBE, Alexandria via LeMat-Bulk).

DFT formation energy ... 0.2523 eV per atom

Cell and atoms, written as extended XYZ:
```
6
Lattice="3.3206 0.0000 0.0000 0.0000 4.4158 0.0000 0.0000 0.0000 5.4115" Properties=species:S:1:pos:R:3 pbc="T T T"
Li 0.0000 0.0000 0.0000
Li 0.0000 2.2079 2.1576
Ga 1.6603 0.0000 2.3590
Ga 1.6603 2.2079 4.2152
C 1.6603 1.5405 0.8944
C 1.6603 2.8752 0.8944
```



No. 8
# BaSr2CaSe

A relaxed BaSr2CaSe crystal (PBE, Alexandria via LeMat-Bulk).

E above lowest polymorph ... 51 meV/atom
Energy relative to the elements, uncorrected ... -14.7 kcal/mol of atoms

Cell and atoms, written as extended XYZ:
```
5
Lattice="6.2837 0.0000 0.0000 0.0000 6.2837 0.0000 0.0000 0.0000 5.9331" Properties=species:S:1:pos:R:3 pbc="T T T"
Ba 0.0000 0.0000 0.0000
Sr 0.0000 3.1419 2.9666
Sr 3.1419 0.0000 2.9666
Ca 3.1419 3.1419 0.0000
Se 3.1419 3.1419 2.9666
```



No. 9
# LuThTcAu

A relaxed LuThTcAu crystal (PBE, Alexandria via LeMat-Bulk).

DFT formation energy ... -0.3618 eV per atom

Cell and atoms, written as extended XYZ:
```
4
Lattice="0.0000 3.5533 3.5533 3.5533 0.0000 3.5533 3.5533 3.5533 0.0000" Properties=species:S:1:pos:R:3 pbc="T T T"
Lu 0.0000 0.0000 0.0000
Th 3.5533 3.5533 3.5533
Tc 5.3300 5.3300 5.3300
Au 1.7767 1.7767 1.7767
```



No. 10
# InAg2Pt2

A relaxed InAg2Pt2 crystal (PBE, Alexandria via LeMat-Bulk).

E above lowest polymorph ... 271 meV/atom
DFT formation energy ... 0.1681 eV per atom

Cell and atoms, written as extended XYZ:
```
5
Lattice="-1.8922 1.8922 6.9156 1.8922 -1.8922 6.9156 1.8922 1.8922 -6.9156" Properties=species:S:1:pos:R:3 pbc="T T T"
In 0.0000 0.0000 0.0000
Ag 0.0000 0.0000 5.5381
Ag 0.0000 0.0000 8.2931
Pt 1.8922 0.0000 3.4578
Pt 0.0000 1.8922 3.4578
```



No. 11
# PmDy6Ho

A relaxed PmDy6Ho crystal (PBE, Alexandria via LeMat-Bulk).

E above lowest polymorph ... 0 meV/atom
DFT formation energy ... 0.0212 eV per atom

Cell and atoms, written as extended XYZ:
```
8
Lattice="5.0257 0.0000 0.0000 0.0000 5.0257 0.0000 0.0000 0.0000 10.0455" Properties=species:S:1:pos:R:3 pbc="T T T"
Pm 0.0000 0.0000 0.0000
Dy 0.0000 2.5128 2.5310
Dy 0.0000 2.5128 7.5146
Dy 2.5128 0.0000 2.5310
Dy 2.5128 0.0000 7.5146
Dy 2.5128 2.5128 0.0000
Dy 2.5128 2.5128 5.0228
Ho 0.0000 0.0000 5.0228
```



No. 12
# Ba4Pa3AgN8

A relaxed Ba4Pa3AgN8 crystal (PBE, Alexandria via LeMat-Bulk).

Energy relative to the elements, uncorrected ... -21.0 kcal/mol of atoms

Cell and atoms, written as extended XYZ:
```
16
Lattice="3.6767 2.1228 6.3384 -3.6767 2.1228 6.3384 0.0000 -4.2455 6.3384" Properties=species:S:1:pos:R:3 pbc="T T T"
Ba 0.0000 0.0000 0.0000
Ba -1.8384 -1.0614 6.3384
Ba -1.8384 1.0614 12.6768
Ba 0.0000 2.1227 6.3384
Pa -3.6767 0.0000 9.5076
Pa -1.8384 1.0614 3.1692
Pa 1.8384 1.0614 3.1692
Ag 0.0000 0.0000 9.5076
N -2.0807 -1.2013 10.6933
N 0.0000 0.0000 4.3796
N 0.0000 -2.4026 8.3220
N -2.0807 1.2013 8.3220
N 2.0807 -1.2013 10.6932
N 0.0000 2.4026 10.6932
N 0.0000 0.0000 14.6356
N 2.0807 1.2013 8.3220
```



no.,volume (Å³/cell),size of the total moment (μB per formula unit)
1,104.2,0.00
2,175.3,0.00
3,313.8,0.00
4,115.8,0.00
5,268.1,2.29
6,70.5,0.00
7,79.3,0.00
8,234.3,0.00
9,89.7,0.00
10,99.0,0.00
11,253.7,0.00
12,296.8,0.00